DFT (PBE) results for PrGdTlCu after structural relaxation.

As for the magnetic moment: 30.62 μB/cell. As for the density of states at the Fermi level: 16.31 states/eV/cell. Its energy relative to the elements is -0.9 eV/f.u.

It has space group F-43m (No. 216), with a = 7.503 Å, b = 7.503 Å, c = 7.503 Å, α = 90.00°, β = 90.00° and γ = 90.00°. Symmetry generates all atoms from Pr at (0.000, 0.000, 0.000), Gd at (0.000, 0.000, 0.500), Tl at (0.250, 0.250, 0.250) and Cu at (0.250, 0.250, 0.750).

---

DFT (PBE) results for Y2SbCl after structural relaxation.

As for the magnetic moment: 2.39 μB/cell. As for the density of states at the Fermi level: 6.00 states/eV/cell. As for the formation energy from raw total energies: -0.839 eV/atom. Its relative energy among the computed polymorphs is 1.281 eV/f.u.

It has space group I-4m2 (No. 119), with a = 4.225 Å, b = 4.225 Å, c = 12.410 Å, α = 90.00°, β = 90.00° and γ = 90.00°. Symmetry generates all atoms from Y at (0.000, 0.000, 0.000), Y at (0.000, 0.500, 0.250), Sb at (0.000, 0.000, 0.500) and Cl at (0.000, 0.500, 0.750).

---

DFT (PBE) results for LuHf2Mo after structural relaxation.

As for the magnetic moment: 0.00 μB/cell. As for the density of states at the Fermi level: 5.77 states/eV/cell. Its energy relative to the elements is 0.2 eV/f.u. Its relative energy among the computed polymorphs is 0.000 eV/f.u.

It has space group P4/mmm (No. 123), with a = 3.406 Å, b = 3.406 Å, c = 7.612 Å, α = 90.00°, β = 90.00° and γ = 90.00°. Symmetry generates all atoms from Lu at (0.000, 0.000, 0.000), Hf at (0.500, 0.500, 0.301) and Mo at (0.000, 0.000, 0.500).